DFT (PBEsol) results for a geometry-optimized FeSeS2Cl structure.

Results
Symmetry = No. 123
DOS at the Fermi energy = 0.7213 states/eV/atom
ΔE_f (raw) = 0.239 eV per atom
Total magnetic moment = 0.38 μB per atom
DFT total energy = -4.479 eV per atom
ρ = 4.53 g/cm³

abc: 4.4186 4.4186 4.4034
angles: 90.00 90.00 90.00
With the nearest neighbours (Å) after each atom.
Fractional coordinates of all 5 atoms:
Fe 0.0000 0.0000 0.0000  2 Cl 2.20, 4 S 2.21
Se 0.5000 0.5000 0.5000  8 S 3.12, 4 Cl 3.12
S 0.0000 0.5000 0.0000  2 Fe 2.21
S 0.5000 0.0000 0.0000  2 Fe 2.21
Cl 0.0000 0.0000 0.5000  2 Fe 2.20